The following is a DFT calculation (PBE-GGA) of a relaxed AlCd2H2 crystal.

Cell lengths 5.4725, 5.4725, 5.1596 Å; angles 90.00, 90.00, 90.00 degrees
Closest atoms and distances in Å follow each position.
Sites, in units of the cell vectors:
1 Al 0.0000 0.0000 0.0000  4 H 1.94
2 Al 0.5000 0.5000 0.0000  4 H 1.94
3 Cd 0.1831 0.3169 0.5000  2 H 2.60, 5 Cd 2.83
4 Cd 0.3169 0.8169 0.5000  2 H 2.60, 5 Cd 2.83
5 Cd 0.6831 0.1831 0.5000  2 H 2.60, 5 Cd 2.83
6 Cd 0.8169 0.6831 0.5000  2 H 2.60, 5 Cd 2.83
7 H 0.2262 0.2738 0.0000  2 Al 1.94
8 H 0.2738 0.7738 0.0000  2 Al 1.94
9 H 0.7262 0.2262 0.0000  2 Al 1.94
10 H 0.7738 0.7262 0.0000  2 Al 1.94

Output
theoretical density: 5.5 g cm⁻³
magnetization: 0.0 Bohr magnetons per cell
uncorrected energy: -2.186 eV/atom
symmetry: P4/mbm (127)
DOS at the Fermi energy: 2.700 states/eV/cell
E above lowest polymorph: 61 meV/atom

***

The following is a DFT calculation (PBE-GGA) of a relaxed AlCd2H crystal.

Cell lengths 6.9782, 6.9782, 6.9782 Å; angles 135.84, 135.84, 64.23 degrees
Closest atoms and distances in Å follow each position.
Sites, in units of the cell vectors:
1 Al 0.0000 0.0000 0.0000  4 Cd 2.74
2 Al 0.7500 0.2500 0.5000  4 Cd 2.74
3 Cd 0.2378 0.6250 0.1128  2 H 2.10
4 Cd 0.3750 0.4878 0.6128  2 H 2.10
5 Cd 0.5122 0.1250 0.8872  2 H 2.10
6 Cd 0.8750 0.7622 0.3872  2 H 2.10
7 H 0.2500 0.7500 0.5000  4 Cd 2.10
8 H 0.5000 0.5000 0.0000  4 Cd 2.10

Output
theoretical density: 5.2 g cm⁻³
magnetization: 0.0 Bohr magnetons per cell
uncorrected energy: -1.804 eV/atom
symmetry: I-42d (122)
DOS at the Fermi energy: 2.671 states/eV/cell
E above lowest polymorph: 0 meV/atom

***

The following is a DFT calculation (PBE-GGA) of a relaxed HfAlCd2H crystal.

Cell lengths 5.7183, 5.7183, 3.5517 Å; angles 90.00, 90.00, 90.00 degrees
Closest atoms and distances in Å follow each position.
Sites, in units of the cell vectors:
1 Hf 0.0000 0.0000 0.0000  2 H 1.78
2 Al 0.5000 0.5000 0.5000  8 Cd 3.37, 2 Al 3.55
3 Cd 0.0000 0.5000 0.0000  2 Hf 2.86
4 Cd 0.5000 0.0000 0.0000  2 Hf 2.86
5 H 0.0000 0.0000 0.5000  2 Hf 1.78

Output
theoretical density: 6.2 g cm⁻³
magnetization: 0.0 Bohr magnetons per cell
uncorrected energy: -3.178 eV/atom
symmetry: P4/mmm (123)
DOS at the Fermi energy: 5.572 states/eV/cell

***

The following is a DFT calculation (PBE-GGA) of a relaxed AlCdHg2H crystal.

Cell lengths 5.4785, 5.4785, 3.4588 Å; angles 90.00, 90.00, 90.00 degrees
Closest atoms and distances in Å follow each position.
Sites, in units of the cell vectors:
1 Al 0.0000 0.0000 0.0000  2 H 1.73
2 Cd 0.5000 0.5000 0.5000  8 Hg 3.24, 2 Cd 3.46
3 Hg 0.0000 0.5000 0.0000  2 Al 2.74
4 Hg 0.5000 0.0000 0.0000  2 Al 2.74
5 H 0.0000 0.0000 0.5000  2 Al 1.73

Output
theoretical density: 8.7 g cm⁻³
magnetization: 0.0 Bohr magnetons per cell
uncorrected energy: -1.574 eV/atom
symmetry: P4/mmm (123)
DOS at the Fermi energy: 1.789 states/eV/cell

***

The following is a DFT calculation (PBE-GGA) of a relaxed AlCdIn2H crystal.

Cell lengths 5.5799, 5.5799, 3.4268 Å; angles 90.00, 90.00, 90.00 degrees
Closest atoms and distances in Å follow each position.
Sites, in units of the cell vectors:
1 Al 0.0000 0.0000 0.0000  2 H 1.71
2 Cd 0.5000 0.5000 0.5000  8 In 3.27, 2 Cd 3.43
3 In 0.0000 0.5000 0.0000  2 Al 2.79
4 In 0.5000 0.0000 0.0000  2 Al 2.79
5 H 0.0000 0.0000 0.5000  2 Al 1.71

Output
theoretical density: 5.8 g cm⁻³
magnetization: 0.0 Bohr magnetons per cell
uncorrected energy: -2.524 eV/atom
symmetry: P4/mmm (123)
DOS at the Fermi energy: 1.524 states/eV/cell

***

The following is a DFT calculation (PBE-GGA) of a relaxed LiAl2CdH crystal.

Cell lengths 4.1578, 4.1578, 4.2089 Å; angles 90.00, 90.00, 90.00 degrees
Closest atoms and distances in Å follow each position.
Sites, in units of the cell vectors:
1 Li 0.0000 0.0000 0.0000  2 H 2.10
2 Al 0.0000 0.5000 0.5000  2 H 2.08
3 Al 0.5000 0.0000 0.5000  2 H 2.08
4 Cd 0.5000 0.5000 0.0000  4 Li 2.94, 8 Al 2.96
5 H 0.0000 0.0000 0.5000  4 Al 2.08, 2 Li 2.10

Output
theoretical density: 4.0 g cm⁻³
magnetization: 0.0 Bohr magnetons per cell
uncorrected energy: -2.696 eV/atom
symmetry: P4/mmm (123)
DOS at the Fermi energy: 0.723 states/eV/cell

***

The following is a DFT calculation (PBE-GGA) of a relaxed Li2AlCdH crystal.

Cell lengths 4.1520, 4.1520, 4.0654 Å; angles 90.00, 90.00, 90.00 degrees
Closest atoms and distances in Å follow each position.
Sites, in units of the cell vectors:
1 Li 0.0000 0.5000 0.0000  2 H 2.08
2 Li 0.5000 0.0000 0.0000  2 H 2.08
3 Al 0.0000 0.0000 0.5000  2 H 2.03
4 Cd 0.5000 0.5000 0.5000  8 Li 2.91, 4 Al 2.94
5 H 0.0000 0.0000 0.0000  2 Al 2.03, 4 Li 2.08

Output
theoretical density: 3.7 g cm⁻³
magnetization: 0.0 Bohr magnetons per cell
uncorrected energy: -2.484 eV/atom
symmetry: P4/mmm (123)
DOS at the Fermi energy: 0.919 states/eV/cell
E above lowest polymorph: 0 meV/atom

***

The following is a DFT calculation (PBE-GGA) of a relaxed Li2AlCdH crystal.

Cell lengths 4.1055, 4.1055, 4.3293 Å; angles 90.00, 90.00, 90.00 degrees
Closest atoms and distances in Å follow each position.
Sites, in units of the cell vectors:
1 Li 0.0000 0.5000 0.0000  2 H 2.05
2 Li 0.5000 0.0000 0.0000  2 H 2.05
3 Al 0.0000 0.0000 0.5000  4 Cd 2.90, 8 Li 2.98
4 Cd 0.5000 0.5000 0.5000  2 H 2.16
5 H 0.5000 0.5000 0.0000  4 Li 2.05, 2 Cd 2.16

Output
theoretical density: 3.5 g cm⁻³
magnetization: 0.0 Bohr magnetons per cell
uncorrected energy: -2.422 eV/atom
symmetry: P4/mmm (123)
DOS at the Fermi energy: 0.713 states/eV/cell
E above lowest polymorph: 62 meV/atom

***

The following is a DFT calculation (PBE-GGA) of a relaxed Mn2AlCdH crystal.

Cell lengths 5.1957, 5.1957, 3.3765 Å; angles 90.00, 90.00, 90.00 degrees
Closest atoms and distances in Å follow each position.
Sites, in units of the cell vectors:
1 Mn 0.0000 0.5000 0.0000  2 Cd 2.60
2 Mn 0.5000 0.0000 0.0000  2 Cd 2.60
3 Al 0.0000 0.0000 0.5000  8 Mn 3.10, 2 Al 3.38
4 Cd 0.5000 0.5000 0.0000  2 H 1.69
5 H 0.5000 0.5000 0.5000  2 Cd 1.69

Output
theoretical density: 4.6 g cm⁻³
magnetization: 8.0 Bohr magnetons per cell
uncorrected energy: -4.317 eV/atom
symmetry: P4/mmm (123)
DOS at the Fermi energy: 3.612 states/eV/cell

***

The following is a DFT calculation (PBE-GGA) of a relaxed Nb2AlCdH crystal.

Cell lengths 5.2696, 5.2696, 3.0675 Å; angles 90.00, 90.00, 90.00 degrees
Closest atoms and distances in Å follow each position.
Sites, in units of the cell vectors:
1 Nb 0.0000 0.5000 0.0000  2 Al 2.63
2 Nb 0.5000 0.0000 0.0000  2 Al 2.63
3 Al 0.0000 0.0000 0.0000  2 H 1.53
4 Cd 0.5000 0.5000 0.5000  8 Nb 3.05, 2 Cd 3.07
5 H 0.0000 0.0000 0.5000  2 Al 1.53

Output
theoretical density: 6.4 g cm⁻³
magnetization: 0.0 Bohr magnetons per cell
uncorrected energy: -4.746 eV/atom
symmetry: P4/mmm (123)
DOS at the Fermi energy: 4.362 states/eV/cell

***

The following is a DFT calculation (PBE-GGA) of a relaxed AlCdHO2 crystal.

Cell lengths 4.1922, 4.1922, 3.2349 Å; angles 90.00, 90.00, 90.00 degrees
Closest atoms and distances in Å follow each position.
Sites, in units of the cell vectors:
1 Al 0.0000 0.0000 0.0000  8 O 2.65, 4 Cd 2.96
2 Cd 0.5000 0.5000 0.0000  2 H 1.62
3 H 0.5000 0.5000 0.5000  2 Cd 1.62
4 O 0.0000 0.5000 0.5000  2 H 2.10
5 O 0.5000 0.0000 0.5000  2 H 2.10

Output
theoretical density: 5.0 g cm⁻³
magnetization: 0.0 Bohr magnetons per cell
uncorrected energy: -3.352 eV/atom
symmetry: P4/mmm (123)
DOS at the Fermi energy: 2.662 states/eV/cell

***

The following is a DFT calculation (PBE-GGA) of a relaxed AlCdHPb2 crystal.

Cell lengths 5.8162, 5.8162, 3.3599 Å; angles 90.00, 90.00, 90.00 degrees
Closest atoms and distances in Å follow each position.
Sites, in units of the cell vectors:
1 Al 0.0000 0.0000 0.0000  2 H 1.68
2 Cd 0.5000 0.5000 0.5000  8 Pb 3.36, 2 Cd 3.36
3 H 0.0000 0.0000 0.5000  2 Al 1.68
4 Pb 0.0000 0.5000 0.0000  2 Al 2.91
5 Pb 0.5000 0.0000 0.0000  2 Al 2.91

Output
theoretical density: 8.1 g cm⁻³
magnetization: 0.0 Bohr magnetons per cell
uncorrected energy: -2.901 eV/atom
symmetry: P4/mmm (123)
DOS at the Fermi energy: 2.102 states/eV/cell

***

The following is a DFT calculation (PBE-GGA) of a relaxed AlCd2HPd6 crystal.

Cell lengths 6.0768, 6.0768, 5.8244 Å; angles 118.61, 118.61, 89.32 degrees
Closest atoms and distances in Å follow each position.
Sites, in units of the cell vectors:
1 Al 0.0000 0.0000 0.0000  6 Pd 2.31-2.33
2 Cd 0.2356 0.7644 0.5000  12 Pd 2.93-3.20
3 Cd 0.7644 0.2356 0.5000  12 Pd 2.93-3.20
4 H 0.5000 0.5000 0.0000  6 Pd 1.97-2.00
5 Pd 0.2698 0.7302 0.0000  1 H 1.97
6 Pd 0.2797 0.2797 0.0227  1 H 2.00
7 Pd 0.2818 0.2818 0.5350  1 H 2.00
8 Pd 0.7182 0.7182 0.4650  1 H 2.00
9 Pd 0.7203 0.7203 0.9773  1 H 2.00
10 Pd 0.7302 0.2698 0.0000  1 H 1.97

Output
theoretical density: 9.3 g cm⁻³
magnetization: 0.0 Bohr magnetons per cell
uncorrected energy: -4.308 eV/atom
symmetry: C2/m (12)
DOS at the Fermi energy: 0.866 states/eV/cell

***

The following is a DFT calculation (PBE-GGA) of a relaxed Rb2AlCdH6 crystal.

Cell lengths 5.8898, 5.8898, 5.8898 Å; angles 120.31, 120.31, 89.46 degrees
Closest atoms and distances in Å follow each position.
Sites, in units of the cell vectors:
1 Rb 0.2500 0.7500 0.5000  12 H 2.94-2.96
2 Rb 0.7500 0.2500 0.5000  12 H 2.94-2.96
3 Al 0.0000 0.0000 0.0000  6 H 1.82
4 Cd 0.5000 0.5000 0.0000  6 H 2.33-2.37
5 H 0.2171 0.2171 0.0000  1 Al 1.82
6 H 0.2192 0.2192 0.4384  1 Al 1.82
7 H 0.2192 0.7808 0.0000  1 Al 1.82
8 H 0.7808 0.2192 0.0000  1 Al 1.82
9 H 0.7808 0.7808 0.5616  1 Al 1.82
10 H 0.7829 0.7829 0.0000  1 Al 1.82

Output
theoretical density: 3.7 g cm⁻³
magnetization: 0.0 Bohr magnetons per cell
uncorrected energy: -2.771 eV/atom
symmetry: I4/mmm (139)
DOS at the Fermi energy: 0.416 states/eV/cell

***

The following is a DFT calculation (PBE-GGA) of a relaxed AlCdSb2H crystal.

Cell lengths 5.6160, 5.6160, 3.3485 Å; angles 90.00, 90.00, 90.00 degrees
Closest atoms and distances in Å follow each position.
Sites, in units of the cell vectors:
1 Al 0.0000 0.0000 0.0000  2 H 1.67
2 Cd 0.5000 0.5000 0.5000  8 Sb 3.27, 2 Cd 3.35
3 Sb 0.0000 0.5000 0.0000  2 Al 2.81
4 Sb 0.5000 0.0000 0.0000  2 Al 2.81
5 H 0.0000 0.0000 0.5000  2 Al 1.67

Output
theoretical density: 6.0 g cm⁻³
magnetization: 0.0 Bohr magnetons per cell
uncorrected energy: -3.158 eV/atom
symmetry: P4/mmm (123)
DOS at the Fermi energy: 1.671 states/eV/cell
E above lowest polymorph: 0 meV/atom

***

The following is a DFT calculation (PBE-GGA) of a relaxed AlCdSb2H crystal.

Cell lengths 5.2791, 5.2791, 5.3828 Å; angles 90.00, 90.00, 90.00 degrees
Closest atoms and distances in Å follow each position.
Sites, in units of the cell vectors:
1 Al 0.0000 0.0000 0.0000  4 Sb 2.64, 2 Cd 2.69
2 Cd 0.0000 0.0000 0.5000  2 Al 2.69
3 Sb 0.0000 0.5000 0.0000  2 Al 2.64
4 Sb 0.5000 0.0000 0.0000  2 Al 2.64
5 H 0.5000 0.5000 0.5000  4 Cd 3.73, 8 Sb 3.77

Output
theoretical density: 4.2 g cm⁻³
magnetization: 0.8 Bohr magnetons per cell
uncorrected energy: -2.372 eV/atom
symmetry: P4/mmm (123)
DOS at the Fermi energy: 3.737 states/eV/cell
E above lowest polymorph: 786 meV/atom

***

The following is a DFT calculation (PBE-GGA) of a relaxed AlCdSn2H crystal.

Cell lengths 5.6832, 5.6832, 3.2777 Å; angles 90.00, 90.00, 90.00 degrees
Closest atoms and distances in Å follow each position.
Sites, in units of the cell vectors:
1 Al 0.0000 0.0000 0.0000  2 H 1.64
2 Cd 0.5000 0.5000 0.5000  2 Cd 3.28, 8 Sn 3.28
3 Sn 0.0000 0.5000 0.0000  2 Al 2.84
4 Sn 0.5000 0.0000 0.0000  2 Al 2.84
5 H 0.0000 0.0000 0.5000  2 Al 1.64

Output
theoretical density: 5.9 g cm⁻³
magnetization: 0.0 Bohr magnetons per cell
uncorrected energy: -3.056 eV/atom
symmetry: P4/mmm (123)
DOS at the Fermi energy: 2.453 states/eV/cell

***

The following is a DFT calculation (PBE-GGA) of a relaxed Sr2AlCdH crystal.

Cell lengths 5.2415, 5.2415, 4.5351 Å; angles 90.00, 90.00, 90.00 degrees
Closest atoms and distances in Å follow each position.
Sites, in units of the cell vectors:
1 Sr 0.0000 0.5000 0.0000  2 H 2.62
2 Sr 0.5000 0.0000 0.0000  2 H 2.62
3 Al 0.0000 0.0000 0.5000  8 Sr 3.47, 4 Cd 3.71
4 Cd 0.5000 0.5000 0.5000  2 H 2.27
5 H 0.5000 0.5000 0.0000  2 Cd 2.27

Output
theoretical density: 4.2 g cm⁻³
magnetization: 0.0 Bohr magnetons per cell
uncorrected energy: -2.464 eV/atom
symmetry: P4/mmm (123)
DOS at the Fermi energy: 2.035 states/eV/cell
E above lowest polymorph: 30 meV/atom

***

The following is a DFT calculation (PBE-GGA) of a relaxed Sr2AlCdH crystal.

Cell lengths 5.5555, 5.5555, 4.0804 Å; angles 90.00, 90.00, 90.00 degrees
Closest atoms and distances in Å follow each position.
Sites, in units of the cell vectors:
1 Sr 0.0000 0.5000 0.0000  2 H 2.78
2 Sr 0.5000 0.0000 0.0000  2 H 2.78
3 Al 0.0000 0.0000 0.5000  2 H 2.04
4 Cd 0.5000 0.5000 0.5000  8 Sr 3.45
5 H 0.0000 0.0000 0.0000  2 Al 2.04

Output
theoretical density: 4.2 g cm⁻³
magnetization: 0.0 Bohr magnetons per cell
uncorrected energy: -2.494 eV/atom
symmetry: P4/mmm (123)
DOS at the Fermi energy: 2.465 states/eV/cell
E above lowest polymorph: 0 meV/atom

***

The following is a DFT calculation (PBE-GGA) of a relaxed AlVCdH2 crystal.

Cell lengths 3.6831, 3.6831, 6.0323 Å; angles 90.00, 90.00, 90.00 degrees
Closest atoms and distances in Å follow each position.
Sites, in units of the cell vectors:
1 Al 0.0000 0.0000 0.0000  4 V 2.60
2 V 0.5000 0.5000 0.0000  4 Al 2.60
3 Cd 0.0000 0.0000 0.5000  4 H 1.84
4 H 0.0000 0.5000 0.5000  2 Cd 1.84
5 H 0.5000 0.0000 0.5000  2 Cd 1.84

Output
theoretical density: 3.9 g cm⁻³
magnetization: 2.6 Bohr magnetons per cell
uncorrected energy: -3.292 eV/atom
symmetry: P4/mmm (123)
DOS at the Fermi energy: 4.142 states/eV/cell
E above lowest polymorph: 42 meV/atom